A plane-wave DFT calculation with PBE was carried out for a relaxed In4Ag3Ge4Se16 crystal.

a = 8.2711 Å, b = 8.2711 Å, c = 22.2503 Å
α = 90.00°, β = 90.00°, γ = 90.00°
Space group I-4 (No. 82)
Symmetry-distinct sites (fractional):
1 In 0.2424 0.2496 0.1284 x8
2 Ag 0.0000 0.5000 0.5034 x4
3 Ag 0.0000 0.5000 0.7500 x2
4 Ge 0.0000 0.0000 0.0000 x2
5 Ge 0.0000 0.0000 0.2489 x4
6 Ge 0.0000 0.0000 0.5000 x2
7 Se 0.0164 0.7485 0.1967 x8
8 Se 0.0222 0.2369 0.4364 x8
9 Se 0.0242 0.7658 0.6850 x8
10 Se 0.0264 0.2307 0.9338 x8

Calculated values
ΔE_f (raw) in meV/atom: -299.8
Crystal system: tetragonal

=====

A plane-wave DFT calculation with PBE was carried out for a relaxed AgSbCl3 crystal.

a = 5.0471 Å, b = 5.0471 Å, c = 5.0471 Å
α = 90.00°, β = 90.00°, γ = 90.00°
Space group Pm-3m (No. 221)
Symmetry-distinct sites (fractional):
1 Ag 0.0000 0.0000 0.0000 x1
2 Sb 0.5000 0.5000 0.5000 x1
3 Cl 0.0000 0.0000 0.5000 x3

Calculated values
ΔE_f (raw) in meV/atom: 16.0
E above lowest polymorph in meV/atom: 540
Crystal system: cubic